<i>
# PBE TeAsCl2, optimized geometry
data_TeAsCl2
_cell_length_a 10.5124
_cell_length_b 10.5124
_cell_length_c 10.5124
_cell_angle_alpha 18.14
_cell_angle_beta 18.14
_cell_angle_gamma 18.14
_symmetry_space_group_name_H-M 'P 1'
_symmetry_Int_Tables_number 1
loop_
_symmetry_equiv_pos_as_xyz
'x,y,z'
loop_
_atom_site_label
_atom_site_fract_x
_atom_site_fract_y
_atom_site_fract_z
As1 0.7500 0.7500 0.7500
Te1 0.2500 0.2500 0.2500
Cl1 0.0212 0.0212 0.0212
Cl2 0.4788 0.4788 0.4788
# symmetry	R-3m, No. 166
# total magnetization	0.0	μB per formula unit
# crystal system	trigonal

=====

<ii>
# PBE TeAsCl2, optimized geometry
data_TeAsCl2
_cell_length_a 3.1356
_cell_length_b 4.5695
_cell_length_c 6.1993
_cell_angle_alpha 90.00
_cell_angle_beta 90.00
_cell_angle_gamma 90.00
_symmetry_space_group_name_H-M 'P 1'
_symmetry_Int_Tables_number 1
loop_
_symmetry_equiv_pos_as_xyz
'x,y,z'
loop_
_atom_site_label
_atom_site_fract_x
_atom_site_fract_y
_atom_site_fract_z
As1 0.5000 0.5000 0.7500
Te1 0.5000 0.5000 0.2500
Cl1 0.0000 0.0000 0.9943
Cl2 0.0000 0.0000 0.5057
# symmetry	Pmmm, No. 47
# total magnetization	0.0	μB per formula unit
# crystal system	orthorhombic

=====

<iii>
# PBE TeAsCl2, optimized geometry
data_TeAsCl2
_cell_length_a 4.0076
_cell_length_b 4.0076
_cell_length_c 8.3114
_cell_angle_alpha 88.60
_cell_angle_beta 88.60
_cell_angle_gamma 59.21
_symmetry_space_group_name_H-M 'P 1'
_symmetry_Int_Tables_number 1
loop_
_symmetry_equiv_pos_as_xyz
'x,y,z'
loop_
_atom_site_label
_atom_site_fract_x
_atom_site_fract_y
_atom_site_fract_z
As1 0.1903 0.1903 0.2647
Te1 0.5495 0.5495 0.4680
Cl1 0.9752 0.9752 0.0531
Cl2 0.7850 0.7850 0.7141
# symmetry	Cm, No. 8
# total magnetization	0.0	μB per formula unit
# crystal system	monoclinic

=====

<iv>
# PBE TeAsCl2, optimized geometry
data_TeAsCl2
_cell_length_a 3.3802
_cell_length_b 3.3802
_cell_length_c 12.1950
_cell_angle_alpha 90.00
_cell_angle_beta 90.00
_cell_angle_gamma 120.98
_symmetry_space_group_name_H-M 'P 1'
_symmetry_Int_Tables_number 1
loop_
_symmetry_equiv_pos_as_xyz
'x,y,z'
loop_
_atom_site_label
_atom_site_fract_x
_atom_site_fract_y
_atom_site_fract_z
As1 0.5000 0.5000 0.7500
Te1 0.5000 0.5000 0.2500
Cl1 0.0000 0.0000 0.9038
Cl2 0.0000 0.0000 0.5962
# symmetry	Cmmm, No. 65
# total magnetization	0.0	μB per formula unit
# crystal system	orthorhombic

=====

Quick one: least stable of them? <ii>

=====

<i>
# PBE TeAs3Cl, optimized geometry
data_TeAs3Cl
_cell_length_a 5.3601
_cell_length_b 5.3601
_cell_length_c 5.3601
_cell_angle_alpha 90.00
_cell_angle_beta 90.00
_cell_angle_gamma 90.00
_symmetry_space_group_name_H-M 'P 1'
_symmetry_Int_Tables_number 1
loop_
_symmetry_equiv_pos_as_xyz
'x,y,z'
loop_
_atom_site_label
_atom_site_fract_x
_atom_site_fract_y
_atom_site_fract_z
As1 0.0000 0.5000 0.0000
As2 0.0000 0.0000 0.5000
As3 0.5000 0.0000 0.0000
Te1 0.0000 0.0000 0.0000
Cl1 0.5000 0.5000 0.5000
# symmetry	Pm-3m, No. 221
# total magnetization	0.0	μB per formula unit
# crystal system	cubic

=====

<ii>
# PBE TeAs3Cl, optimized geometry
data_TeAs3Cl
_cell_length_a 4.9611
_cell_length_b 4.9611
_cell_length_c 4.9611
_cell_angle_alpha 90.00
_cell_angle_beta 90.00
_cell_angle_gamma 90.00
_symmetry_space_group_name_H-M 'P 1'
_symmetry_Int_Tables_number 1
loop_
_symmetry_equiv_pos_as_xyz
'x,y,z'
loop_
_atom_site_label
_atom_site_fract_x
_atom_site_fract_y
_atom_site_fract_z
As1 0.0000 0.5000 0.0000
As2 0.0000 0.0000 0.5000
As3 0.5000 0.0000 0.0000
Te1 0.5000 0.5000 0.5000
Cl1 0.0000 0.0000 0.0000
# symmetry	Pm-3m, No. 221
# total magnetization	0.0	μB per formula unit
# crystal system	cubic

=====

Quick one: least stable of them? <ii>